Computed, not measured: a relaxed structure of Pm3CdTc at the PBE-GGA level of DFT.

a = 5.3983 Å, b = 5.3983 Å, c = 5.3983 Å
α = 90.00°, β = 90.00°, γ = 90.00°
Last column: nearest neighbours and their distance in Å.
Sites, in units of the cell vectors:
Pm (0.0000, 0.0000, 0.5000)  2 Tc 2.70
Cd (0.5000, 0.5000, 0.5000)  12 Pm 3.82
Tc (0.0000, 0.0000, 0.0000)  6 Pm 2.70
Pm (0.5000, 0.0000, 0.0000)  2 Tc 2.70
Pm (0.0000, 0.5000, 0.0000)  2 Tc 2.70

Results
Electronic total energy ... -5.0014 eV/atom
Mass density ... 6.8 g/cm3
Excess energy over the best structure of this formula in the dataset ... 18.1 kJ per mole of atoms
M_tot ... 0.0 μB per cell



Computed, not measured: a relaxed structure of TbCeSm2S4 at the PBE-GGA level of DFT.

a = 3.9803 Å, b = 6.9329 Å, c = 6.9105 Å
α = 109.35°, β = 90.00°, γ = 90.00°
Last column: nearest neighbours and their distance in Å.
Sites, in units of the cell vectors:
S (0.0000, 0.7535, 0.2483)  1 Tb 2.79, 3 Sm 2.82-2.85, 2 Ce 2.83
S (0.5000, 0.2445, 0.2451)  2 Tb 2.79, 3 Sm 2.82-2.85, 1 Ce 2.83
Sm (0.5000, 0.0000, 0.5000)  6 S 2.82
S (0.0000, 0.2465, 0.7517)  1 Tb 2.79, 3 Sm 2.82-2.85, 2 Ce 2.83
Sm (0.0000, 0.5000, 0.5000)  6 S 2.85
Ce (0.5000, 0.5000, 0.0000)  6 S 2.83
Tb (0.0000, 0.0000, 0.0000)  6 S 2.79
S (0.5000, 0.7555, 0.7549)  2 Tb 2.79, 3 Sm 2.82-2.85, 1 Ce 2.83

Results
Electronic total energy ... -6.5939 eV/atom
Mass density ... 6.7 g/cm3
ΔE_f (raw) ... -2030 meV per atom
M_tot ... 0.7 μB per cell



Computed, not measured: a relaxed structure of Pm2Pr5Au4 at the PBE-GGA level of DFT.

a = 3.9209 Å, b = 8.3944 Å, c = 22.8610 Å
α = 151.69°, β = 94.92°, γ = 90.00°
Last column: nearest neighbours and their distance in Å.
Sites, in units of the cell vectors:
Au (0.9344, 0.4597, 0.8689)  1 Pm 2.99, 4 Pr 3.02-3.33
Pm (0.9360, 0.0552, 0.8720)  3 Au 2.97-2.99
Au (0.3331, 0.5110, 0.6662)  2 Pm 2.97, 5 Pr 3.07-3.21
Pr (0.5000, 0.0000, 0.0000)  4 Au 3.07
Pr (0.8158, 0.1493, 0.6316)  4 Au 3.07-3.33
Pr (0.8094, 0.6908, 0.6188)  3 Au 3.02-3.19, 1 Pm 3.38
Au (0.0656, 0.5403, 0.1311)  1 Pm 2.99, 4 Pr 3.02-3.33
Pr (0.1906, 0.3092, 0.3812)  3 Au 3.02-3.19, 1 Pm 3.38
Pm (0.0640, 0.9448, 0.1280)  3 Au 2.97-2.99
Au (0.6669, 0.4890, 0.3338)  2 Pm 2.97, 5 Pr 3.07-3.21
Pr (0.1842, 0.8507, 0.3684)  4 Au 3.07-3.33

Results
Electronic total energy ... -4.5887 eV/atom
Mass density ... 8.4 g/cm3
M_tot ... 0.0 μB per cell



Computed, not measured: a relaxed structure of CoPbSe2N at the PBE-GGA level of DFT.

a = 5.5949 Å, b = 5.5949 Å, c = 4.3156 Å
α = 90.00°, β = 90.00°, γ = 90.00°
Last column: nearest neighbours and their distance in Å.
Sites, in units of the cell vectors:
Pb (0.0000, 0.0000, 0.0000)  2 N 2.16
Se (0.5000, 0.0000, 0.0000)  2 Pb 2.80
Co (0.5000, 0.5000, 0.5000)  8 Se 3.53, 4 N 3.96
Se (0.0000, 0.5000, 0.0000)  2 Pb 2.80
N (0.0000, 0.0000, 0.5000)  2 Pb 2.16

Results
Electronic total energy ... -3.6292 eV/atom
Mass density ... 5.4 g/cm3
ΔE_f (raw) ... 1593 meV per atom
Excess energy over the best structure of this formula in the dataset ... 138.7 kJ per mole of atoms
M_tot ... 2.8 μB per cell